(P)
A plane-wave DFT calculation with PBE-GGA was carried out for an optimized crystal structure of PmYScTl.

Cell: 4.7776 4.7727 4.8510 Å, 90.00 90.00 90.00°
Closest atoms and distances in Å follow each position.
Sites, in units of the cell vectors:
1 Pm 0.0000 0.5000 0.5000  4 Sc 3.38, 4 Y 3.40, 4 Tl 3.40
2 Y 0.0000 0.0000 0.0000  4 Tl 3.38, 4 Pm 3.40, 4 Sc 3.40
3 Sc 0.5000 0.0000 0.5000  4 Pm 3.38, 4 Tl 3.40, 4 Y 3.40
4 Tl 0.5000 0.5000 0.0000  4 Y 3.38, 4 Sc 3.40, 4 Pm 3.40

---

(Q)
A plane-wave DFT calculation with PBE-GGA was carried out for an optimized crystal structure of PmYScTl.

Cell: 5.4234 5.4234 5.4234 Å, 60.00 60.00 60.00°
Closest atoms and distances in Å follow each position.
Sites, in units of the cell vectors:
1 Y 0.7500 0.7500 0.7500  4 Tl 3.32, 4 Sc 3.32
2 Sc 0.0000 0.0000 0.0000  4 Pm 3.32, 4 Y 3.32
3 Tl 0.5000 0.5000 0.5000  4 Y 3.32, 4 Pm 3.32
4 Pm 0.2500 0.2500 0.2500  4 Tl 3.32, 4 Sc 3.32

---

Which structure is the most stable? The one labeled (P).

---

(P)
A plane-wave DFT calculation with PBE-GGA was carried out for an optimized crystal structure of Pm2Tm3Sc4.

Cell: 5.8388 10.8267 10.8267 Å, 61.77 62.88 62.88°
Closest atoms and distances in Å follow each position.
Sites, in units of the cell vectors:
1 Pm 0.4391 0.2283 0.5172  5 Sc 3.20-3.58, 4 Tm 3.36-3.44
2 Pm 0.0609 0.4828 0.7717  5 Sc 3.20-3.58, 4 Tm 3.36-3.44
3 Pm 0.5609 0.7717 0.4828  5 Sc 3.20-3.58, 4 Tm 3.36-3.44
4 Pm 0.9391 0.5172 0.2283  5 Sc 3.20-3.58, 4 Tm 3.36-3.44
5 Tm 0.7911 0.0650 0.2593  7 Sc 3.20-3.49, 2 Pm 3.36-3.38
6 Tm 0.7089 0.7407 0.9350  7 Sc 3.20-3.49, 2 Pm 3.36-3.38
7 Tm 0.2089 0.9350 0.7407  7 Sc 3.20-3.49, 2 Pm 3.36-3.38
8 Tm 0.2911 0.2593 0.0650  7 Sc 3.20-3.49, 2 Pm 3.36-3.38
9 Tm 0.2500 0.6054 0.3946  4 Sc 3.33-3.53, 6 Pm 3.43-3.69
10 Tm 0.7500 0.3946 0.6054  4 Sc 3.33-3.53, 6 Pm 3.43-3.69
11 Sc 0.4341 0.9088 0.1783  3 Sc 3.14-3.31, 1 Pm 3.20, 4 Tm 3.20-3.33
12 Sc 0.0659 0.8217 0.0912  3 Sc 3.14-3.31, 1 Pm 3.20, 4 Tm 3.20-3.33
13 Sc 0.5659 0.0912 0.8217  3 Sc 3.14-3.31, 1 Pm 3.20, 4 Tm 3.20-3.33
14 Sc 0.9341 0.1783 0.9088  3 Sc 3.14-3.31, 1 Pm 3.20, 4 Tm 3.20-3.33
15 Sc 0.0990 0.1371 0.4180  1 Sc 3.09, 3 Tm 3.21-3.46, 2 Pm 3.28-3.29
16 Sc 0.4010 0.5820 0.8629  1 Sc 3.09, 3 Tm 3.21-3.46, 2 Pm 3.28-3.29
17 Sc 0.9010 0.8629 0.5820  1 Sc 3.09, 3 Tm 3.21-3.46, 2 Pm 3.28-3.29
18 Sc 0.5990 0.4180 0.1371  1 Sc 3.09, 3 Tm 3.21-3.46, 2 Pm 3.28-3.29

---

(Q)
A plane-wave DFT calculation with PBE-GGA was carried out for an optimized crystal structure of Pm2Tm3Sc4.

Cell: 9.3956 9.3956 6.3412 Å, 76.90 76.90 99.49°
Closest atoms and distances in Å follow each position.
Sites, in units of the cell vectors:
1 Pm 0.8287 0.4480 0.6216  2 Pm 3.12-3.18, 4 Sc 3.14-3.42, 2 Tm 3.34-3.36
2 Pm 0.5520 0.1713 0.8784  2 Pm 3.12-3.18, 4 Sc 3.14-3.42, 2 Tm 3.34-3.36
3 Pm 0.1713 0.5520 0.3784  2 Pm 3.12-3.18, 4 Sc 3.14-3.42, 2 Tm 3.34-3.36
4 Pm 0.4480 0.8287 0.1216  2 Pm 3.12-3.18, 4 Sc 3.14-3.42, 2 Tm 3.34-3.36
5 Tm 0.9542 0.6757 0.0556  6 Sc 3.18-3.46, 2 Pm 3.36-3.55, 1 Tm 3.41
6 Tm 0.3243 0.0458 0.4444  6 Sc 3.18-3.46, 2 Pm 3.36-3.55, 1 Tm 3.41
7 Tm 0.0458 0.3243 0.9444  6 Sc 3.18-3.46, 2 Pm 3.36-3.55, 1 Tm 3.41
8 Tm 0.6757 0.9542 0.5556  6 Sc 3.18-3.46, 2 Pm 3.36-3.55, 1 Tm 3.41
9 Tm 0.3084 0.6916 0.7500  2 Pm 3.34, 4 Sc 3.36-3.69, 4 Tm 3.41-3.66
10 Tm 0.6916 0.3084 0.2500  2 Pm 3.34, 4 Sc 3.36-3.69, 4 Tm 3.41-3.66
11 Sc 0.9848 0.8185 0.5041  3 Sc 3.27-3.55, 4 Tm 3.34-3.46, 2 Pm 3.39-3.42
12 Sc 0.1815 0.0152 0.9959  3 Sc 3.27-3.55, 4 Tm 3.34-3.46, 2 Pm 3.39-3.42
13 Sc 0.0152 0.1815 0.4959  3 Sc 3.27-3.55, 4 Tm 3.34-3.46, 2 Pm 3.39-3.42
14 Sc 0.8185 0.9848 0.0041  3 Sc 3.27-3.55, 4 Tm 3.34-3.46, 2 Pm 3.39-3.42
15 Sc 0.6459 0.6248 0.9254  3 Sc 3.10-3.19, 2 Pm 3.14-3.21, 3 Tm 3.18-3.36
16 Sc 0.3752 0.3541 0.5746  3 Sc 3.10-3.19, 2 Pm 3.14-3.21, 3 Tm 3.18-3.36
17 Sc 0.3541 0.3752 0.0746  3 Sc 3.10-3.19, 2 Pm 3.14-3.21, 3 Tm 3.18-3.36
18 Sc 0.6248 0.6459 0.4254  3 Sc 3.10-3.19, 2 Pm 3.14-3.21, 3 Tm 3.18-3.36

---

Which structure is the most stable? The one labeled (P).